Mg3TcAs: optimized geometry, PBE-GGA.

Unit cell a=4.9683 b=4.9683 c=4.9683 alpha=90.00 beta=90.00 gamma=90.00
Closest atoms and distances in Å follow each position.
Sites, in units of the cell vectors:
Mg  0.0000  0.0000  0.5000  2 Tc 2.48
Mg  0.0000  0.5000  0.0000  2 Tc 2.48
Mg  0.5000  0.0000  0.0000  2 Tc 2.48
Tc  0.0000  0.0000  0.0000  6 Mg 2.48
As  0.5000  0.5000  0.5000  12 Mg 3.51

Properties
**Energy relative to the elements**: 85 kJ/mol of atoms
**N(E_F)**: 5.2 states/eV per cell
**Magnetization**: 0.03 μB/cell
**Space-group type**: Pm-3m (221)
**V**: 122.6 Å³ per cell
**Calculated total energy**: -3.0756 eV/atom